VASP calculation (PBE) on crystalline PaFe2Ge2 at its relaxed geometry.

a b c (Å): 8.0905 6.8592 5.6169
angles (deg): 80.18 56.66 43.16
Atoms (fractional coordinates):
Pa  0.1250  0.1250  0.1250
Pa  0.8750  0.8750  0.8750
Fe  0.2700  0.2700  0.4800
Fe  0.4800  0.4800  0.2700
Fe  0.5200  0.5200  0.7300
Fe  0.7300  0.7300  0.5200
Ge  0.1812  0.5688  0.1812
Ge  0.4312  0.8188  0.4312
Ge  0.5688  0.1812  0.5688
Ge  0.8188  0.4312  0.8188

Properties
ΔH_f (0 K) = -32 kJ/mol of atoms
DFT total energy = -7.46 eV per atom